(1)
{"formula": "Li3CaMg", "functional": "SCAN", "state": "single point on PBEsol structure", "cell": [[5.1603, 0.0000, 0.0000], [0.0000, 5.1603, 0.0000], [0.0000, 0.0000, 5.1603]], "species": ["Li", "Li", "Li", "Ca", "Mg"], "fractional_positions": [[0.0000, 0.0000, 0.5000], [0.0000, 0.5000, 0.0000], [0.5000, 0.0000, 0.0000], [0.5000, 0.5000, 0.5000], [0.0000, 0.0000, 0.0000]], "e_form_ev_per_atom": 0.225, "dos_ef_per_ev_cell": 3.41, "vol_a3_per_atom": 27.48}

***

(2)
{"formula": "LiZrHg2", "functional": "SCAN", "state": "single point on PBEsol structure", "cell": [[3.1890, 0.0000, 0.0000], [0.0000, 3.1890, 0.0000], [0.0000, 0.0000, 7.3221]], "species": ["Li", "Zr", "Hg", "Hg"], "fractional_positions": [[0.0000, 0.0000, 0.0000], [0.0000, 0.0000, 0.5000], [0.5000, 0.5000, 0.2219], [0.5000, 0.5000, 0.7781]], "e_form_ev_per_atom": -0.382, "dos_ef_per_ev_cell": 2.51, "vol_a3_per_atom": 18.62}

***

(3)
{"formula": "CdIn2Ag", "functional": "SCAN", "state": "single point on PBEsol structure", "cell": [[3.2996, 0.0000, 0.0000], [-1.6498, 2.8576, 0.0000], [0.0000, 0.0000, 27.3357]], "species": ["Cd", "Cd", "Cd", "In", "In", "In", "In", "In", "In", "Ag", "Ag", "Ag"], "fractional_positions": [[0.0000, 0.0000, 0.0000], [0.3333, 0.6667, 0.6667], [0.6667, 0.3333, 0.3333], [0.0000, 0.0000, 0.2457], [0.0000, 0.0000, 0.7543], [0.3333, 0.6667, 0.4210], [0.3333, 0.6667, 0.9124], [0.6667, 0.3333, 0.0876], [0.6667, 0.3333, 0.5790], [0.0000, 0.0000, 0.5000], [0.3333, 0.6667, 0.1667], [0.6667, 0.3333, 0.8333]], "e_form_ev_per_atom": 0.038, "dos_ef_per_ev_cell": 3.31, "vol_a3_per_atom": 21.48}

***

(4)
{"formula": "TaCr2Ag", "functional": "SCAN", "state": "single point on PBEsol structure", "cell": [[5.3652, 0.0000, 0.0000], [0.0000, 8.6872, 0.0000], [-0.8665, 0.0000, 2.4414]], "species": ["Ta", "Ta", "Cr", "Cr", "Cr", "Cr", "Ag", "Ag"], "fractional_positions": [[0.0000, 0.0000, 0.0000], [0.5000, 0.5000, 0.0000], [0.2500, 0.2500, 0.5000], [0.2500, 0.7500, 0.5000], [0.7500, 0.2500, 0.5000], [0.7500, 0.7500, 0.5000], [0.0000, 0.5000, 0.0000], [0.5000, 0.0000, 0.0000]], "e_form_ev_per_atom": 0.565, "relative_energy_mev_per_atom": 227, "dos_ef_per_ev_cell": 8.77, "vol_a3_per_atom": 14.22}

***

(5)
{"formula": "Ti3HgO", "functional": "SCAN", "state": "single point on PBEsol structure", "cell": [[4.1258, 0.0000, 0.0000], [0.0000, 4.1258, 0.0000], [0.0000, 0.0000, 4.1258]], "species": ["Ti", "Ti", "Ti", "Hg", "O"], "fractional_positions": [[0.0000, 0.0000, 0.5000], [0.0000, 0.5000, 0.0000], [0.5000, 0.0000, 0.0000], [0.5000, 0.5000, 0.5000], [0.0000, 0.0000, 0.0000]], "total_energy_ev_per_atom": -25.816, "dos_ef_per_ev_cell": 4.23, "vol_a3_per_atom": 14.05}

***

(6)
{"formula": "CsTi6O12", "functional": "SCAN", "state": "single point on PBEsol structure", "cell": [[-5.1293, 5.1293, 4.4291], [5.1293, -5.1293, 4.4291], [5.1293, 5.1293, -4.4291]], "species": ["Cs", "Cs", "Ti", "Ti", "Ti", "Ti", "Ti", "Ti", "Ti", "Ti", "Ti", "Ti", "Ti", "Ti", "O", "O", "O", "O", "O", "O", "O", "O", "O", "O", "O", "O", "O", "O", "O", "O", "O", "O", "O", "O", "O", "O", "O", "O"], "fractional_positions": [[0.2065, 0.2065, 0.0000], [0.7935, 0.7935, 0.0000], [0.0133, 0.8295, 0.5111], [0.1662, 0.6540, 0.8202], [0.1705, 0.6817, 0.1838], [0.3183, 0.5022, 0.4889], [0.3460, 0.1662, 0.5122], [0.4978, 0.9867, 0.8162], [0.5022, 0.0133, 0.1838], [0.6540, 0.8338, 0.4878], [0.6817, 0.4978, 0.5111], [0.8295, 0.3183, 0.8162], [0.8338, 0.3460, 0.1798], [0.9867, 0.1705, 0.4889], [0.1255, 0.4932, 0.9495], [0.1304, 0.4992, 0.2940], [0.1556, 0.2070, 0.3626], [0.1643, 0.4628, 0.6271], [0.1636, 0.8696, 0.3688], [0.1760, 0.1255, 0.6324], [0.2053, 0.8364, 0.7060], [0.2070, 0.8444, 0.0514], [0.4563, 0.8240, 0.9495], [0.4628, 0.8357, 0.2986], [0.4932, 0.5437, 0.3676], [0.4992, 0.2053, 0.3688], [0.5008, 0.7947, 0.6312], [0.5068, 0.4563, 0.6324], [0.5372, 0.1643, 0.7014], [0.5437, 0.1760, 0.0505], [0.7930, 0.1556, 0.9486], [0.7947, 0.1636, 0.2940], [0.8240, 0.8745, 0.3676], [0.8364, 0.1304, 0.6312], [0.8357, 0.5372, 0.3729], [0.8444, 0.7930, 0.6374], [0.8696, 0.5008, 0.7060], [0.8745, 0.5068, 0.0505]], "total_energy_ev_per_atom": -14.227, "dos_ef_per_ev_cell": 12.66, "vol_a3_per_atom": 12.27}

***

(7)
{"formula": "ReRuO2", "functional": "SCAN", "state": "single point on PBEsol structure", "cell": [[2.7376, 0.0000, 0.0000], [-1.3688, 2.3709, 0.0000], [0.0000, 0.0000, 19.9971]], "species": ["Re", "Re", "Re", "Ru", "Ru", "Ru", "O", "O", "O", "O", "O", "O"], "fractional_positions": [[0.0000, 0.0000, 0.0000], [0.3333, 0.6667, 0.6667], [0.6667, 0.3333, 0.3333], [0.0000, 0.0000, 0.5000], [0.3333, 0.6667, 0.1667], [0.6667, 0.3333, 0.8333], [0.0000, 0.0000, 0.1001], [0.0000, 0.0000, 0.8999], [0.3333, 0.6667, 0.5666], [0.3333, 0.6667, 0.7667], [0.6667, 0.3333, 0.2333], [0.6667, 0.3333, 0.4334]], "total_energy_ev_per_atom": -30.122, "dos_ef_per_ev_cell": 9.05, "vol_a3_per_atom": 10.82}

***

(8)
{"formula": "Ta8Al", "functional": "SCAN", "state": "single point on PBEsol structure", "cell": [[-4.8350, 4.8350, 1.6785], [4.8350, -4.8350, 1.6785], [4.8350, 4.8350, -1.6785]], "species": ["Ta", "Ta", "Ta", "Ta", "Ta", "Ta", "Ta", "Ta", "Al"], "fractional_positions": [[0.0000, 0.3312, 0.3312], [0.0000, 0.6688, 0.6688], [0.3312, 0.0000, 0.3312], [0.3339, 0.3339, 0.6678], [0.3339, 0.6661, 0.0000], [0.6661, 0.3339, 0.0000], [0.6661, 0.6661, 0.3322], [0.6688, 0.0000, 0.6688], [0.0000, 0.0000, 0.0000]], "e_form_ev_per_atom": -0.046, "dos_ef_per_ev_cell": 8.92, "vol_a3_per_atom": 17.44}

***

(9)
{"formula": "Al2PW", "functional": "SCAN", "state": "single point on PBEsol structure", "cell": [[3.0843, 0.0000, 0.0000], [0.0000, 3.0843, 0.0000], [0.0000, 0.0000, 6.4264]], "species": ["Al", "Al", "P", "W"], "fractional_positions": [[0.0000, 0.0000, 0.0000], [0.5000, 0.5000, 0.2947], [0.0000, 0.0000, 0.5568], [0.5000, 0.5000, 0.7280]], "e_form_ev_per_atom": 0.000, "dos_ef_per_ev_cell": 2.91, "vol_a3_per_atom": 15.28}

***

(10)
{"formula": "LaTc2Pt", "functional": "SCAN", "state": "single point on PBEsol structure", "cell": [[2.8488, 0.0000, 0.0000], [-1.4244, 2.4671, 0.0000], [0.0000, 0.0000, 29.1004]], "species": ["La", "La", "La", "Tc", "Tc", "Tc", "Tc", "Tc", "Tc", "Pt", "Pt", "Pt"], "fractional_positions": [[0.0000, 0.0000, 0.0000], [0.3333, 0.6667, 0.6667], [0.6667, 0.3333, 0.3333], [0.0000, 0.0000, 0.2382], [0.0000, 0.0000, 0.5036], [0.3333, 0.6667, 0.1703], [0.3333, 0.6667, 0.9049], [0.6667, 0.3333, 0.5716], [0.6667, 0.3333, 0.8369], [0.0000, 0.0000, 0.7596], [0.3333, 0.6667, 0.4263], [0.6667, 0.3333, 0.0929]], "e_form_ev_per_atom": 0.260, "relative_energy_mev_per_atom": 0, "dos_ef_per_ev_cell": 12.21, "vol_a3_per_atom": 17.04}

***

(11)
{"formula": "Ba2ScCl", "functional": "SCAN", "state": "single point on PBEsol structure", "cell": [[4.6169, 0.0000, 0.0000], [0.0000, 4.6169, 0.0000], [0.0000, 0.0000, 14.7522]], "species": ["Ba", "Ba", "Ba", "Ba", "Sc", "Sc", "Cl", "Cl"], "fractional_positions": [[0.0000, 0.0000, 0.0000], [0.0000, 0.5000, 0.2500], [0.5000, 0.0000, 0.7500], [0.5000, 0.5000, 0.5000], [0.0000, 0.5000, 0.7500], [0.5000, 0.0000, 0.2500], [0.0000, 0.0000, 0.5000], [0.5000, 0.5000, 0.0000]], "relative_energy_mev_per_atom": 148, "dos_ef_per_ev_cell": 7.67, "vol_a3_per_atom": 39.31}

***

(12)
{"formula": "BaSc3", "functional": "SCAN", "state": "single point on PBEsol structure", "cell": [[11.0754, 0.0000, 0.0000], [0.0000, 3.3320, 0.0000], [-0.7619, 0.0000, 6.1306]], "species": ["Ba", "Ba", "Sc", "Sc", "Sc", "Sc", "Sc", "Sc"], "fractional_positions": [[0.0000, 0.0000, 0.0000], [0.5000, 0.5000, 0.0000], [0.0000, 0.5000, 0.5000], [0.2437, 0.0000, 0.7158], [0.2563, 0.5000, 0.2842], [0.5000, 0.0000, 0.5000], [0.7437, 0.5000, 0.7158], [0.7563, 0.0000, 0.2842]], "e_form_ev_per_atom": 0.376, "relative_energy_mev_per_atom": 73, "dos_ef_per_ev_cell": 14.36, "vol_a3_per_atom": 28.28}

***

(13)
{"formula": "CaMgB3", "functional": "SCAN", "state": "single point on PBEsol structure", "cell": [[4.5449, 0.0000, 0.0000], [0.0000, 4.5449, 0.0000], [0.0000, 0.0000, 4.5449]], "species": ["Ca", "Mg", "B", "B", "B"], "fractional_positions": [[0.0000, 0.0000, 0.0000], [0.5000, 0.5000, 0.5000], [0.0000, 0.0000, 0.5000], [0.0000, 0.5000, 0.0000], [0.5000, 0.0000, 0.0000]], "e_form_ev_per_atom": 2.437, "relative_energy_mev_per_atom": 918, "dos_ef_per_ev_cell": 2.96, "vol_a3_per_atom": 18.78}

***

(14)
{"formula": "Li3Pt", "functional": "SCAN", "state": "single point on PBEsol structure", "cell": [[2.7596, 0.0000, 0.0000], [0.0000, 4.3261, 0.0000], [0.0000, 0.0000, 4.6751]], "species": ["Li", "Li", "Li", "Pt"], "fractional_positions": [[0.0000, 0.0000, 0.0000], [0.0000, 0.5000, 0.3450], [0.5000, 0.0000, 0.5507], [0.5000, 0.5000, 0.8471]], "e_form_ev_per_atom": -0.460, "relative_energy_mev_per_atom": 29, "dos_ef_per_ev_cell": 1.11, "vol_a3_per_atom": 13.95}

***

(15)
{"formula": "BaZnWF7", "functional": "SCAN", "state": "single point on PBEsol structure", "cell": [[5.6283, 0.0000, 0.0000], [0.0000, 10.1505, 0.0000], [-0.2583, 0.0000, 9.7102]], "species": ["Ba", "Ba", "Ba", "Ba", "Zn", "Zn", "Zn", "Zn", "W", "W", "W", "W", "F", "F", "F", "F", "F", "F", "F", "F", "F", "F", "F", "F", "F", "F", "F", "F", "F", "F", "F", "F", "F", "F", "F", "F", "F", "F", "F", "F"], "fractional_positions": [[0.2398, 0.1761, 0.0016], [0.2398, 0.3239, 0.5016], [0.7602, 0.6761, 0.4984], [0.7602, 0.8239, 0.9984], [0.1797, 0.6024, 0.8088], [0.1797, 0.8976, 0.3088], [0.8203, 0.1024, 0.6912], [0.8203, 0.3976, 0.1912], [0.3027, 0.6128, 0.1845], [0.3027, 0.8872, 0.6845], [0.6973, 0.1128, 0.3155], [0.6973, 0.3872, 0.8155], [0.0039, 0.7150, 0.2464], [0.0039, 0.7850, 0.7464], [0.0945, 0.5388, 0.6268], [0.0945, 0.9612, 0.1268], [0.1485, 0.0614, 0.6199], [0.1485, 0.4386, 0.1199], [0.2171, 0.6988, 0.9946], [0.2171, 0.8012, 0.4946], [0.3748, 0.0463, 0.3792], [0.3748, 0.4537, 0.8792], [0.4066, 0.5399, 0.3711], [0.4066, 0.9601, 0.8711], [0.4695, 0.7157, 0.7500], [0.4695, 0.7843, 0.2500], [0.5305, 0.2157, 0.7500], [0.5305, 0.2843, 0.2500], [0.5934, 0.0399, 0.1289], [0.5934, 0.4601, 0.6289], [0.6252, 0.5463, 0.1208], [0.6252, 0.9537, 0.6208], [0.7829, 0.1988, 0.5054], [0.7829, 0.3012, 0.0054], [0.8515, 0.5614, 0.8801], [0.8515, 0.9386, 0.3801], [0.9055, 0.0388, 0.8732], [0.9055, 0.4612, 0.3732], [0.9961, 0.2150, 0.2536], [0.9961, 0.2850, 0.7536]], "total_energy_ev_per_atom": -17.568, "vol_a3_per_atom": 13.87}

***

(16)
{"formula": "CaZnP2", "functional": "SCAN", "state": "single point on PBEsol structure", "cell": [[2.9093, 0.0000, 0.0000], [0.0000, 4.5915, 0.0000], [0.0000, 0.0000, 5.6289]], "species": ["Ca", "Zn", "P", "P"], "fractional_positions": [[0.0000, 0.0000, 0.0000], [0.5000, 0.5000, 0.6293], [0.0000, 0.0000, 0.5062], [0.5000, 0.5000, 0.0738]], "e_form_ev_per_atom": -0.137, "dos_ef_per_ev_cell": 2.04, "vol_a3_per_atom": 18.80}

***

(17)
{"formula": "Ca2MnReO6", "functional": "SCAN", "state": "single point on PBEsol structure", "cell": [[5.3122, 0.0000, 0.0000], [0.0000, 5.4792, 0.0000], [-5.2909, 0.0000, 7.5790]], "species": ["Ca", "Ca", "Ca", "Ca", "Mn", "Mn", "Re", "Re", "O", "O", "O", "O", "O", "O", "O", "O", "O", "O", "O", "O"], "fractional_positions": [[0.2364, 0.0517, 0.2487], [0.2364, 0.4483, 0.7487], [0.7636, 0.5517, 0.2513], [0.7636, 0.9483, 0.7513], [0.0000, 0.0000, 0.5000], [0.0000, 0.5000, 0.0000], [0.5000, 0.0000, 0.0000], [0.5000, 0.5000, 0.5000], [0.1607, 0.2066, 0.9565], [0.1607, 0.2934, 0.4565], [0.2536, 0.7065, 0.9560], [0.2536, 0.7935, 0.4560], [0.3328, 0.0229, 0.7490], [0.3328, 0.4771, 0.2490], [0.6672, 0.5229, 0.7510], [0.6672, 0.9771, 0.2510], [0.7464, 0.2065, 0.5440], [0.7464, 0.2935, 0.0440], [0.8393, 0.7066, 0.5435], [0.8393, 0.7934, 0.0435]], "total_energy_ev_per_atom": -17.087, "dos_ef_per_ev_cell": 6.15, "vol_a3_per_atom": 11.03}

***

(18)
{"formula": "CuH4I2O8", "functional": "SCAN", "state": "single point on PBEsol structure", "cell": [[6.5110, 0.0000, 0.0000], [0.0000, 4.6993, 0.0000], [-2.6818, 0.0000, 10.8853]], "species": ["Cu", "Cu", "H", "H", "H", "H", "H", "H", "H", "H", "I", "I", "I", "I", "O", "O", "O", "O", "O", "O", "O", "O", "O", "O", "O", "O", "O", "O", "O", "O"], "fractional_positions": [[0.0000, 0.0000, 0.0000], [0.0000, 0.5000, 0.5000], [0.1810, 0.0910, 0.4206], [0.1810, 0.4090, 0.9206], [0.3467, 0.2408, 0.5407], [0.3467, 0.2592, 0.0407], [0.6533, 0.7408, 0.9593], [0.6533, 0.7592, 0.4593], [0.8190, 0.5910, 0.0794], [0.8190, 0.9090, 0.5794], [0.2613, 0.6270, 0.2655], [0.2613, 0.8730, 0.7655], [0.7387, 0.1270, 0.2345], [0.7387, 0.3730, 0.7345], [0.0732, 0.6673, 0.8333], [0.0732, 0.8327, 0.3333], [0.2154, 0.7114, 0.6126], [0.2154, 0.7886, 0.1126], [0.2287, 0.2199, 0.9632], [0.2287, 0.2801, 0.4632], [0.4938, 0.6584, 0.8391], [0.4938, 0.8416, 0.3391], [0.5062, 0.1584, 0.6609], [0.5062, 0.3416, 0.1609], [0.7713, 0.7199, 0.5368], [0.7713, 0.7801, 0.0368], [0.7846, 0.2114, 0.8874], [0.7846, 0.2886, 0.3874], [0.9268, 0.1673, 0.6667], [0.9268, 0.3327, 0.1667]], "total_energy_ev_per_atom": -10.861, "dos_ef_per_ev_cell": 0.00, "vol_a3_per_atom": 11.10}

***

(19)
{"formula": "InFeB3", "functional": "SCAN", "state": "single point on PBEsol structure", "cell": [[4.3414, 0.0000, 0.0000], [0.0000, 4.3414, 0.0000], [0.0000, 0.0000, 4.3414]], "species": ["In", "Fe", "B", "B", "B"], "fractional_positions": [[0.0000, 0.0000, 0.0000], [0.5000, 0.5000, 0.5000], [0.0000, 0.0000, 0.5000], [0.0000, 0.5000, 0.0000], [0.5000, 0.0000, 0.0000]], "e_form_ev_per_atom": 2.645, "dos_ef_per_ev_cell": 4.91, "vol_a3_per_atom": 16.36}

***

(20)
{"formula": "NiAs4Se", "functional": "SCAN", "state": "single point on PBEsol structure", "cell": [[0.0000, 3.8149, 3.8149], [3.8149, 0.0000, 3.8149], [3.8149, 3.8149, 0.0000]], "species": ["Ni", "As", "As", "As", "As", "Se"], "fractional_positions": [[0.0000, 0.0000, 0.0000], [0.1233, 0.6256, 0.6256], [0.6256, 0.1233, 0.6256], [0.6256, 0.6256, 0.1233], [0.6256, 0.6256, 0.6256], [0.2500, 0.2500, 0.2500]], "total_energy_ev_per_atom": -18.735, "dos_ef_per_ev_cell": 4.48, "vol_a3_per_atom": 18.51}

***

| no. | total moment (μB/f.u.) |
| --- | --- |
| 1 | 0.00 |
| 2 | 0.09 |
| 3 | 0.00 |
| 4 | 0.00 |
| 5 | 2.17 |
| 6 | 1.11 |
| 7 | 0.00 |
| 8 | 0.02 |
| 9 | 0.00 |
| 10 | 0.00 |
| 11 | 1.90 |
| 12 | 0.00 |
| 13 | 0.00 |
| 14 | 0.00 |
| 15 | 3.00 |
| 16 | 0.00 |
| 17 | 2.34 |
| 18 | 1.03 |
| 19 | 3.14 |
| 20 | 1.04 |